(1)
# SrTa2W, optimized geometry, DFT PBE
# - Total DFT energy (no corrections): -34.3 eV/cell
# - E_form: 388 kJ/mol of formula units
# - N(E_F): 1.104 states/eV per atom
data_SrTa2W
_cell_length_a 4.848
_cell_length_b 4.848
_cell_length_c 4.848
_cell_angle_alpha 60.00
_cell_angle_beta 60.00
_cell_angle_gamma 60.00
_space_group_name_H-M_alt 'P 1'
_space_group_IT_number 1
loop_
_space_group_symop_operation_xyz
'x,y,z'
loop_
_atom_site_label
_atom_site_type_symbol
_atom_site_fract_x
_atom_site_fract_y
_atom_site_fract_z
Sr1 Sr 0.000 0.000 0.000
W1 W 0.500 0.500 0.500
Ta1 Ta 0.250 0.250 0.250
Ta2 Ta 0.750 0.750 0.750



(2)
# YSi2TcMo, optimized geometry, DFT PBE
# - Total DFT energy (no corrections): -33.5 eV/cell
# - Energy relative to the elements, uncorrected: 0.995 eV per atom
# - N(E_F): 0.767 states/eV per atom
data_YSi2TcMo
_cell_length_a 4.693
_cell_length_b 5.229
_cell_length_c 4.693
_cell_angle_alpha 90.00
_cell_angle_beta 90.00
_cell_angle_gamma 90.00
_space_group_name_H-M_alt 'P 1'
_space_group_IT_number 1
loop_
_space_group_symop_operation_xyz
'x,y,z'
loop_
_atom_site_label
_atom_site_type_symbol
_atom_site_fract_x
_atom_site_fract_y
_atom_site_fract_z
Y1 Y 0.000 0.500 0.000
Mo1 Mo 0.000 0.000 0.000
Si1 Si 0.000 0.000 0.500
Si2 Si 0.500 0.000 0.000
Tc1 Tc 0.500 0.500 0.500



(3)
# UCuOsO6, optimized geometry, DFT PBE
# - Total DFT energy (no corrections): -143.4 eV/cell
# - Energy relative to the elements, uncorrected: -1.704 eV per atom
# - N(E_F): 0.683 states/eV per atom
data_UCuOsO6
_cell_length_a 5.281
_cell_length_b 5.281
_cell_length_c 9.080
_cell_angle_alpha 90.00
_cell_angle_beta 90.00
_cell_angle_gamma 120.00
_space_group_name_H-M_alt 'P 1'
_space_group_IT_number 1
loop_
_space_group_symop_operation_xyz
'x,y,z'
loop_
_atom_site_label
_atom_site_type_symbol
_atom_site_fract_x
_atom_site_fract_y
_atom_site_fract_z
U1 U 0.667 0.333 0.250
U2 U 0.333 0.667 0.750
Cu1 Cu 0.000 0.000 0.000
Cu2 Cu 0.000 0.000 0.500
Os1 Os 0.333 0.667 0.250
Os2 Os 0.667 0.333 0.750
O1 O 0.649 0.667 0.129
O2 O 0.018 0.351 0.129
O3 O 0.351 0.018 0.629
O4 O 0.982 0.649 0.871
O5 O 0.333 0.351 0.371
O6 O 0.018 0.667 0.371
O7 O 0.667 0.018 0.871
O8 O 0.649 0.982 0.371
O9 O 0.982 0.333 0.629
O10 O 0.333 0.982 0.129
O11 O 0.667 0.649 0.629
O12 O 0.351 0.333 0.871



(4)
# Y5InAu4, optimized geometry, DFT PBE
# - Total DFT energy (no corrections): -56.1 eV/cell
# - E_form: -761 kJ/mol of formula units
# - N(E_F): 0.671 states/eV per atom
data_Y5InAu4
_cell_length_a 3.599
_cell_length_b 3.599
_cell_length_c 18.628
_cell_angle_alpha 90.00
_cell_angle_beta 90.00
_cell_angle_gamma 90.00
_space_group_name_H-M_alt 'P 1'
_space_group_IT_number 1
loop_
_space_group_symop_operation_xyz
'x,y,z'
loop_
_atom_site_label
_atom_site_type_symbol
_atom_site_fract_x
_atom_site_fract_y
_atom_site_fract_z
Y1 Y 0.500 0.500 0.111
Y2 Y 0.500 0.500 0.305
Y3 Y 0.500 0.500 0.500
Y4 Y 0.500 0.500 0.695
Y5 Y 0.500 0.500 0.889
In1 In 0.000 0.000 0.000
Au1 Au 0.000 0.000 0.206
Au2 Au 0.000 0.000 0.403
Au3 Au 0.000 0.000 0.597
Au4 Au 0.000 0.000 0.794



(5)
# ScAlTe2As, optimized geometry, DFT PBE
# - Total DFT energy (no corrections): -19.9 eV/cell
# - Energy relative to the elements, uncorrected: 0.220 eV per atom
# - N(E_F): 0.643 states/eV per atom
data_ScAlTe2As
_cell_length_a 5.518
_cell_length_b 4.780
_cell_length_c 5.518
_cell_angle_alpha 90.00
_cell_angle_beta 90.00
_cell_angle_gamma 90.00
_space_group_name_H-M_alt 'P 1'
_space_group_IT_number 1
loop_
_space_group_symop_operation_xyz
'x,y,z'
loop_
_atom_site_label
_atom_site_type_symbol
_atom_site_fract_x
_atom_site_fract_y
_atom_site_fract_z
Sc1 Sc 0.500 0.500 0.500
As1 As 0.000 0.000 0.000
Te1 Te 0.000 0.000 0.500
Te2 Te 0.500 0.000 0.000
Al1 Al 0.000 0.500 0.000



(6)
# Ta2MoCl, optimized geometry, DFT PBE
# - Total DFT energy (no corrections): -34.2 eV/cell
# - Energy relative to the elements, uncorrected: 0.556 eV per atom
# - N(E_F): 0.817 states/eV per atom
data_Ta2MoCl
_cell_length_a 4.728
_cell_length_b 4.728
_cell_length_c 3.145
_cell_angle_alpha 90.00
_cell_angle_beta 90.00
_cell_angle_gamma 102.11
_space_group_name_H-M_alt 'P 1'
_space_group_IT_number 1
loop_
_space_group_symop_operation_xyz
'x,y,z'
loop_
_atom_site_label
_atom_site_type_symbol
_atom_site_fract_x
_atom_site_fract_y
_atom_site_fract_z
Cl1 Cl 0.500 0.000 0.500
Mo1 Mo 0.000 0.500 0.500
Ta1 Ta 0.000 0.000 0.000
Ta2 Ta 0.500 0.500 0.000



(7)
# SrZnFe2Te, optimized geometry, DFT PBE
# - Total DFT energy (no corrections): -20.7 eV/cell
# - Energy relative to the elements, uncorrected: 0.461 eV per atom
# - N(E_F): 1.545 states/eV per atom
data_SrZnFe2Te
_cell_length_a 4.710
_cell_length_b 5.587
_cell_length_c 4.710
_cell_angle_alpha 90.00
_cell_angle_beta 90.00
_cell_angle_gamma 90.00
_space_group_name_H-M_alt 'P 1'
_space_group_IT_number 1
loop_
_space_group_symop_operation_xyz
'x,y,z'
loop_
_atom_site_label
_atom_site_type_symbol
_atom_site_fract_x
_atom_site_fract_y
_atom_site_fract_z
Sr1 Sr 0.500 0.500 0.500
Zn1 Zn 0.000 0.000 0.000
Te1 Te 0.000 0.500 0.000
Fe1 Fe 0.000 0.000 0.500
Fe2 Fe 0.500 0.000 0.000



(8)
# SrMo2Br, optimized geometry, DFT PBE
# - Total DFT energy (no corrections): -18.4 eV/cell
# - Energy relative to the elements, uncorrected: 1.660 eV per atom
# - N(E_F): 1.072 states/eV per atom
data_SrMo2Br
_cell_length_a 4.822
_cell_length_b 4.822
_cell_length_c 4.822
_cell_angle_alpha 60.00
_cell_angle_beta 60.00
_cell_angle_gamma 60.00
_space_group_name_H-M_alt 'P 1'
_space_group_IT_number 1
loop_
_space_group_symop_operation_xyz
'x,y,z'
loop_
_atom_site_label
_atom_site_type_symbol
_atom_site_fract_x
_atom_site_fract_y
_atom_site_fract_z
Sr1 Sr 0.500 0.500 0.500
Mo1 Mo 0.250 0.250 0.250
Mo2 Mo 0.750 0.750 0.750
Br1 Br 0.000 0.000 0.000



(9)
# MgOs2Se, optimized geometry, DFT PBE
# - Total DFT energy (no corrections): -25.1 eV/cell
# - Energy relative to the elements, uncorrected: 0.604 eV per atom
# - N(E_F): 0.962 states/eV per atom
data_MgOs2Se
_cell_length_a 2.859
_cell_length_b 2.859
_cell_length_c 9.115
_cell_angle_alpha 90.00
_cell_angle_beta 90.00
_cell_angle_gamma 118.25
_space_group_name_H-M_alt 'P 1'
_space_group_IT_number 1
loop_
_space_group_symop_operation_xyz
'x,y,z'
loop_
_atom_site_label
_atom_site_type_symbol
_atom_site_fract_x
_atom_site_fract_y
_atom_site_fract_z
Mg1 Mg 0.500 0.500 0.761
Os1 Os 0.000 0.000 0.008
Os2 Os 0.500 0.500 0.242
Se1 Se 0.000 0.000 0.489



(10)
# ErScAgPd, optimized geometry, DFT PBE
# - Total DFT energy (no corrections): -21.3 eV/cell
# - E_form: -223 kJ/mol of formula units
# - N(E_F): 0.875 states/eV per atom
data_ErScAgPd
_cell_length_a 4.891
_cell_length_b 4.891
_cell_length_c 4.891
_cell_angle_alpha 60.00
_cell_angle_beta 60.00
_cell_angle_gamma 60.00
_space_group_name_H-M_alt 'P 1'
_space_group_IT_number 1
loop_
_space_group_symop_operation_xyz
'x,y,z'
loop_
_atom_site_label
_atom_site_type_symbol
_atom_site_fract_x
_atom_site_fract_y
_atom_site_fract_z
Sc1 Sc 0.500 0.500 0.500
Pd1 Pd 0.750 0.750 0.750
Ag1 Ag 0.250 0.250 0.250
Er1 Er 0.000 0.000 0.000



(11)
# Ni3BAs, optimized geometry, DFT PBE
# - Total DFT energy (no corrections): -28.7 eV/cell
# - E_form: -4 kJ/mol of formula units
# - N(E_F): 0.745 states/eV per atom
data_Ni3BAs
_cell_length_a 3.882
_cell_length_b 3.882
_cell_length_c 3.882
_cell_angle_alpha 90.00
_cell_angle_beta 90.00
_cell_angle_gamma 90.00
_space_group_name_H-M_alt 'P 1'
_space_group_IT_number 1
loop_
_space_group_symop_operation_xyz
'x,y,z'
loop_
_atom_site_label
_atom_site_type_symbol
_atom_site_fract_x
_atom_site_fract_y
_atom_site_fract_z
Ni1 Ni 0.000 0.500 0.000
Ni2 Ni 0.000 0.000 0.500
Ni3 Ni 0.500 0.000 0.000
As1 As 0.500 0.500 0.500
B1 B 0.000 0.000 0.000



(12)
# CuAgF3, optimized geometry, DFT PBE
# - Total DFT energy (no corrections): -33.2 eV/cell
# - Energy relative to the elements, uncorrected: -0.805 eV per atom
# - N(E_F): 0.496 states/eV per atom
data_CuAgF3
_cell_length_a 6.617
_cell_length_b 6.617
_cell_length_c 5.078
_cell_angle_alpha 90.00
_cell_angle_beta 90.00
_cell_angle_gamma 136.12
_space_group_name_H-M_alt 'P 1'
_space_group_IT_number 1
loop_
_space_group_symop_operation_xyz
'x,y,z'
loop_
_atom_site_label
_atom_site_type_symbol
_atom_site_fract_x
_atom_site_fract_y
_atom_site_fract_z
Cu1 Cu 0.422 0.578 0.250
Cu2 Cu 0.578 0.422 0.750
Ag1 Ag 0.148 0.852 0.250
Ag2 Ag 0.852 0.148 0.750
F1 F 0.056 0.427 0.250
F2 F 0.573 0.944 0.250
F3 F 0.427 0.056 0.750
F4 F 0.944 0.573 0.750
F5 F 0.000 0.000 0.000
F6 F 0.000 0.000 0.500



> Which value of total DFT energy (no corrections) does entry 1 give?

-34.3 eV/cell



> N(E_F) of number 11 (Ni3BAs)?

0.745 states/eV per atom



> Which value of N(E_F) does entry 9 give?

0.962 states/eV per atom